(1)
Here is crystalline SiSeBr2N at its relaxed geometry from Alexandria via LeMat-Bulk. Energies are from PBE.

It has space group P4/mmm (No. 123), with a = 4.502 Å, b = 4.502 Å, c = 4.845 Å, α = 90.00°, β = 90.00° and γ = 90.00°. The inequivalent atoms are Si at (0.000, 0.000, 0.000), Se at (0.500, 0.500, 0.000), Br at (0.000, 0.500, 0.500) and N at (0.500, 0.500, 0.500).

As for the formation energy without anion corrections: 1.08 eV per atom.

***

(2)
Here is crystalline Tb5Ho4Er at its relaxed geometry from Alexandria via LeMat-Bulk. Energies are from PBE.

It has space group I4 (No. 79), with a = 10.141 Å, b = 10.141 Å, c = 6.231 Å, α = 90.00°, β = 90.00° and γ = 90.00°. The inequivalent atoms are Tb at (0.000, 0.000, 0.000), Tb at (0.148, 0.230, 0.729), Ho at (0.045, 0.344, 0.231) and Er at (0.000, 0.000, 0.461).

The value obtained for the distance to the lowest polymorph of the same formula is 2.48 eV per formula unit. The value obtained for the formation enthalpy at 0 K is 0.3067 eV/atom.

***

(3)
Here is crystalline InTc3I at its relaxed geometry from Alexandria via LeMat-Bulk. Energies are from PBE.

It has space group Pm-3m (No. 221), with a = 4.823 Å, b = 4.823 Å, c = 4.823 Å, α = 90.00°, β = 90.00° and γ = 90.00°. The inequivalent atoms are In at (0.000, 0.000, 0.000), Tc at (0.000, 0.500, 0.500) and I at (0.500, 0.500, 0.500).

As for the formation energy without anion corrections: 1.80 eV per atom. The value obtained for the distance to the lowest polymorph of the same formula is 0.00 eV per formula unit.

***

(4)
Here is crystalline AcGd2Tm at its relaxed geometry from Alexandria via LeMat-Bulk. Energies are from PBE.

It has space group P4/mmm (No. 123), with a = 5.171 Å, b = 5.171 Å, c = 5.189 Å, α = 90.00°, β = 90.00° and γ = 90.00°. The inequivalent atoms are Ac at (0.000, 0.000, 0.000), Gd at (0.000, 0.500, 0.500) and Tm at (0.500, 0.500, 0.000).

The value obtained for the distance to the lowest polymorph of the same formula is 0.00 eV per formula unit. The value obtained for the formation enthalpy at 0 K is 0.0484 eV/atom.

***

(5)
Here is crystalline RbCd4 at its relaxed geometry from Alexandria via LeMat-Bulk. Energies are from PBE.

It has space group Fmmm (No. 69), with a = 5.825 Å, b = 9.838 Å, c = 13.028 Å, α = 90.00°, β = 90.00° and γ = 90.00°. The inequivalent atoms are Rb at (0.000, 0.000, 0.000), Cd at (0.000, 0.000, 0.299) and Cd at (0.250, 0.250, 0.250).

The value obtained for the distance to the lowest polymorph of the same formula is 0.20 eV per formula unit. The value obtained for the formation enthalpy at 0 K is -0.0106 eV/atom.

***

(6)
Here is crystalline Zn2CrRh at its relaxed geometry from Alexandria via LeMat-Bulk. Energies are from PBE.

It has space group Pmmm (No. 47), with a = 3.016 Å, b = 4.299 Å, c = 4.376 Å, α = 90.00°, β = 90.00° and γ = 90.00°. The inequivalent atoms are Zn at (0.000, 0.000, 0.000), Zn at (0.500, 0.000, 0.500), Cr at (0.000, 0.500, 0.500) and Rh at (0.500, 0.500, 0.000).

The value obtained for the distance to the lowest polymorph of the same formula is 0.46 eV per formula unit. The value obtained for the formation enthalpy at 0 K is -0.0196 eV/atom.

***

(7)
Here is crystalline K4Tm3ScTe8 at its relaxed geometry from Alexandria via LeMat-Bulk. Energies are from PBE.

It has space group R-3m (No. 166, hexagonal axes), with a = 8.8356 Å, b = 8.8356 Å, c = 24.6759 Å, α = 90.00°, β = 90.00° and γ = 120.00°. The inequivalent atoms are K at (0.0000, 0.0000, 0.0000), K at (0.0000, 0.5000, 0.0000), Tm at (0.0000, 0.5000, 0.5000), Sc at (0.0000, 0.0000, 0.5000), Te at (0.0000, 0.0000, 0.2358) and Te at (0.0076, 0.5038, 0.2343).

As for the formation energy without anion corrections: -1.34 eV per atom.

***

(8)
Here is crystalline BaGa2Rh2 at its relaxed geometry from Alexandria via LeMat-Bulk. Energies are from PBE.

It has space group P4/mbm (No. 127), with a = 7.887 Å, b = 7.887 Å, c = 3.017 Å, α = 90.00°, β = 90.00° and γ = 90.00°. The inequivalent atoms are Ba at (0.000, 0.000, 0.000), Ga at (0.120, 0.380, 0.000) and Rh at (0.165, 0.665, 0.500).

The value obtained for the formation enthalpy at 0 K is -0.3344 eV/atom.

***

(9)
Here is crystalline Bi2P2H at its relaxed geometry from Alexandria via LeMat-Bulk. Energies are from PBE.

It has space group P4/mbm (No. 127), with a = 7.592 Å, b = 7.592 Å, c = 3.758 Å, α = 90.00°, β = 90.00° and γ = 90.00°. The inequivalent atoms are Bi at (0.160, 0.340, 0.000), P at (0.147, 0.647, 0.500) and H at (0.000, 0.000, 0.500).

The value obtained for the distance to the lowest polymorph of the same formula is 2.19 eV per formula unit.

***

(10)
Here is crystalline Ba2LiZn2Cu at its relaxed geometry from Alexandria via LeMat-Bulk. Energies are from PBE.

It has space group Ibam (No. 72), with a = 6.729 Å, b = 15.197 Å, c = 6.808 Å, α = 90.00°, β = 90.00° and γ = 90.00°. The inequivalent atoms are Ba at (0.246, 0.157, 0.000), Li at (0.000, 0.500, 0.250), Zn at (0.232, 0.075, 0.500) and Cu at (0.000, 0.000, 0.250).

The value obtained for the formation enthalpy at 0 K is -0.1034 eV/atom.

***

(11)
Here is crystalline Th2FeAgHg at its relaxed geometry from Alexandria via LeMat-Bulk. Energies are from PBE.

It has space group P2_1/m (No. 11), with a = 8.160 Å, b = 3.889 Å, c = 8.230 Å, α = 90.00°, β = 112.82° and γ = 90.00°. The inequivalent atoms are Th at (0.114, 0.250, 0.339), Th at (0.266, 0.250, 0.997), Fe at (0.110, 0.750, 0.108), Ag at (0.446, 0.750, 0.357) and Hg at (0.303, 0.750, 0.690).

The value obtained for the formation enthalpy at 0 K is -0.1582 eV/atom.

***

(12)
Here is crystalline Tb2ErGe2 at its relaxed geometry from Alexandria via LeMat-Bulk. Energies are from PBE.

It has space group C2/m (No. 12), with a = 12.237 Å, b = 4.365 Å, c = 10.490 Å, α = 90.00°, β = 116.84° and γ = 90.00°. The inequivalent atoms are Tb at (0.017, 0.000, 0.187), Tb at (0.181, 0.000, 0.587), Er at (0.219, 0.500, 0.860), Ge at (0.026, 0.500, 0.391) and Ge at (0.118, 0.500, 0.065).

The value obtained for the distance to the lowest polymorph of the same formula is 0.49 eV per formula unit. The value obtained for the formation enthalpy at 0 K is -0.6961 eV/atom.